Record 1
A plane-wave DFT calculation with PBE was carried out for an optimized crystal structure of TaZn2Cd.

```
TaZn2Cd
1.0
4.339 0.000 0.000
0.000 2.860 -0.102
0.000 0.198 5.664
Zn Cd Ta
2 1 1
Cartesian
0.000 0.908 5.458 Zn
0.000 0.818 2.986 Zn
2.169 0.764 1.390 Cd
2.169 2.293 4.171 Ta
```

Formation energy (eV/atom): 0.1573
Offset from the most stable computed form (meV per atom): 95
Symmetry: Pmmm, No. 47

Record 2
A plane-wave DFT calculation with PBE was carried out for an optimized crystal structure of Ta2ZnCd.

```
Ta2ZnCd
1.0
4.226 0.000 0.000
0.000 2.956 0.001
0.000 1.493 5.833
Ta Zn Cd
2 1 1
Cartesian
2.113 1.300 1.513 Ta
0.000 2.770 0.065 Ta
0.000 2.776 2.825 Zn
2.113 2.785 4.349 Cd
```

Formation energy (eV/atom): 0.2113
Offset from the most stable computed form (meV per atom): 132
Symmetry: Pm, No. 6